Density functional theory data (PBE) for a relaxed Pr15NdY4 crystal.

Cell and atoms, written as POSCAR:
```
Pr15NdY4
1.0
5.220 0.000 0.000
0.000 5.220 0.000
0.000 0.000 25.977
Pr Nd Y
15 1 4
direct
0.500 0.500 0.000
0.500 0.500 0.201
0.500 0.500 0.400
0.500 0.500 0.600
0.500 0.500 0.799
0.500 0.000 0.101
0.500 0.000 0.301
0.500 0.000 0.500
0.500 0.000 0.699
0.500 0.000 0.899
0.000 0.500 0.101
0.000 0.500 0.301
0.000 0.500 0.500
0.000 0.500 0.699
0.000 0.500 0.899
0.000 0.000 0.000
0.000 0.000 0.201
0.000 0.000 0.400
0.000 0.000 0.600
0.000 0.000 0.799
```

- Formation energy from the elements: 0.008 eV per atom

=====

Density functional theory data (PBE) for a relaxed Pr2Nd12Y5 crystal.

Cell and atoms, written as POSCAR:
```
Pr2Nd12Y5
1.0
-7.352 -3.906 -4.312
8.472 -8.683 3.614
-5.465 5.304 4.514
Pr Nd Y
2 12 5
direct
0.672 0.000 0.000
0.328 0.000 0.000
0.081 0.163 0.280
0.029 0.697 0.936
0.668 0.697 0.936
0.175 0.742 0.417
0.568 0.742 0.417
0.561 0.122 0.778
0.439 0.878 0.222
0.825 0.258 0.583
0.432 0.258 0.583
0.971 0.303 0.064
0.332 0.303 0.064
0.919 0.837 0.720
0.295 0.590 0.620
0.232 0.463 0.896
0.000 0.000 0.500
0.768 0.537 0.104
0.705 0.410 0.380
```

- Formation energy from the elements: 0.120 eV per atom
- Offset from the most stable computed form: 0.000 eV per atom

=====

Density functional theory data (PBE) for a relaxed Pr2Nd6Y5 crystal.

Cell and atoms, written as POSCAR:
```
Pr2Nd6Y5
1.0
-1.837 -3.152 0.464
5.347 -1.568 10.507
-15.366 10.333 9.362
Pr Nd Y
4 12 10
direct
0.000 0.329 0.283
0.000 0.671 0.717
0.000 0.829 0.217
0.000 0.171 0.783
0.000 0.077 0.363
0.000 0.923 0.637
0.000 0.577 0.137
0.000 0.423 0.863
0.500 0.322 0.127
0.500 0.678 0.873
0.500 0.822 0.373
0.500 0.178 0.627
0.000 0.562 0.425
0.000 0.438 0.575
0.000 0.062 0.075
0.000 0.938 0.925
0.500 0.301 0.442
0.500 0.699 0.558
0.500 0.801 0.058
0.500 0.199 0.942
0.500 0.590 0.280
0.500 0.410 0.720
0.500 0.090 0.220
0.500 0.910 0.780
0.500 0.500 0.000
0.500 0.000 0.500
```

- Formation energy from the elements: 0.097 eV per atom

=====

Number 1: density of states at the Fermi level 28.5 states/eV/f.u., VASP energy -5.108 eV/atom, spin magnetization 0.00 μB per cell. Number 2: density of states at the Fermi level 26.8 states/eV/f.u., VASP energy -5.095 eV/atom, spin magnetization 0.00 μB per cell. Number 3: density of states at the Fermi level 15.8 states/eV/f.u., VASP energy -5.325 eV/atom, spin magnetization 0.00 μB per cell.